## TbHoMgHg (PBE-GGA)

Data for TbHoMgHg after structural relaxation.

Space-group type ... P4mm, No. 99
Energy of formation from the pure elements ... -0.28 eV per atom
Energy above the most stable polymorph in this dataset ... 0.000 eV/atom
Final energy ... -3.055 eV per atom
Theoretical density ... 8.7 g cm⁻³

a = 3.779 Å, b = 3.779 Å, c = 7.369 Å
α = 90.00°, β = 90.00°, γ = 90.00°
Element x y z (fractional)
Tb  0.000  0.000  0.861
Ho  0.000  0.000  0.353
Mg  0.500  0.500  0.604
Hg  0.500  0.500  0.111